No. 1
Crystalline LiNbIN2 at its relaxed geometry, computed with PBE-GGA.

Values from the calculation:
* space-group type: P4/mmm (123)
* energy above the most stable polymorph in this dataset: 2041.5 meV per atom
* E_form (uncorrected): 2.00 eV/atom

a b c (Å): 4.360 4.410 4.360
angles (deg): 90.00 90.00 90.00
Atoms (fractional coordinates):
1 I 0.000 0.000 0.000
2 Nb 0.500 0.500 0.500
3 Li 0.000 0.500 0.000
4 N 0.000 0.000 0.500
5 N 0.500 0.000 0.000

***

No. 2
Crystalline Sm2DyGaN at its relaxed geometry, computed with PBE-GGA.

Values from the calculation:
* space-group type: P4/mmm (123)
* E_form (uncorrected): -0.90 eV/atom

a b c (Å): 4.752 4.896 4.896
angles (deg): 90.00 90.00 90.00
Atoms (fractional coordinates):
1 Sm 0.000 0.000 0.500
2 Sm 0.000 0.500 0.000
3 Dy 0.500 0.000 0.000
4 Ga 0.500 0.500 0.500
5 N 0.000 0.000 0.000

***

No. 3
Crystalline Cs4K2GaSn2 at its relaxed geometry, computed with PBE-GGA.

Values from the calculation:
* space-group type: C2/m (12)
* DFT formation energy: -0.068 eV/atom

a b c (Å): 7.429 9.039 9.039
angles (deg): 56.88 73.36 73.36
Atoms (fractional coordinates):
1 Cs 0.239 0.640 0.110
2 Cs 0.761 0.890 0.360
3 Cs 0.761 0.360 0.890
4 Cs 0.239 0.110 0.640
5 K 0.211 0.646 0.646
6 K 0.789 0.354 0.354
7 Ga 0.500 0.000 0.000
8 Sn 0.240 0.156 0.156
9 Sn 0.760 0.844 0.844

***

No. 4
Crystalline Pa4Ag3Bi8 at its relaxed geometry, computed with PBE-GGA.

Values from the calculation:
* space-group type: P-4m2 (115)
* DFT formation energy: -0.107 eV/atom

a b c (Å): 4.569 4.569 19.916
angles (deg): 90.00 90.00 90.00
Atoms (fractional coordinates):
1 Pa 0.500 0.000 0.371
2 Pa 0.500 0.000 0.880
3 Pa 0.000 0.500 0.120
4 Pa 0.000 0.500 0.629
5 Ag 0.500 0.500 0.500
6 Ag 0.000 0.000 0.000
7 Ag 0.000 0.000 0.500
8 Bi 0.500 0.000 0.087
9 Bi 0.500 0.000 0.600
10 Bi 0.000 0.500 0.400
11 Bi 0.000 0.500 0.913
12 Bi 0.500 0.500 0.245
13 Bi 0.500 0.500 0.755
14 Bi 0.000 0.000 0.245
15 Bi 0.000 0.000 0.755

***

No. 5
Crystalline CaAgP at its relaxed geometry, computed with PBE-GGA.

Values from the calculation:
* space-group type: Pmn2_1 (31)
* DFT formation energy: -0.667 eV/atom

a b c (Å): 4.295 4.092 7.413
angles (deg): 90.00 90.00 90.00
Atoms (fractional coordinates):
1 P 0.298 0.815 0.101
2 P 0.798 0.734 0.601
3 Ca 0.298 0.276 0.433
4 Ca 0.798 0.273 0.933
5 Ag 0.298 0.772 0.767
6 Ag 0.798 0.776 0.267

***

No. 6
Crystalline BaLiCaHg at its relaxed geometry, computed with PBE-GGA.

Values from the calculation:
* space-group type: Amm2 (38)
* DFT formation energy: -0.261 eV/atom
* energy above the most stable polymorph in this dataset: 0.0 meV per atom

a b c (Å): 4.586 4.742 6.949
angles (deg): 90.00 109.27 90.00
Atoms (fractional coordinates):
1 Ba 0.740 0.500 0.480
2 Li 0.459 0.500 0.918
3 Ca 0.025 0.000 0.050
4 Hg 0.345 0.000 0.691

***

No. 7
Crystalline SmDy2Er6Tm3 at its relaxed geometry, computed with PBE-GGA.

Values from the calculation:
* space-group type: C2/m (12)
* DFT formation energy: 0.022 eV/atom

a b c (Å): 6.087 6.087 11.650
angles (deg): 94.99 94.99 119.93
Atoms (fractional coordinates):
1 Sm 0.000 0.000 0.000
2 Dy 0.333 0.667 0.000
3 Dy 0.667 0.333 0.000
4 Er 0.915 0.581 0.748
5 Er 0.751 0.751 0.252
6 Er 0.085 0.419 0.252
7 Er 0.581 0.915 0.748
8 Er 0.249 0.249 0.748
9 Er 0.419 0.085 0.252
10 Tm 0.167 0.833 0.500
11 Tm 0.833 0.167 0.500
12 Tm 0.500 0.500 0.500

***

No. 8
Crystalline Li2ScSnN at its relaxed geometry, computed with PBE-GGA.

Values from the calculation:
* space-group type: P4/mmm (123)
* energy above the most stable polymorph in this dataset: 1602.5 meV per atom
* E_form (uncorrected): 0.98 eV/atom

a b c (Å): 4.902 5.526 4.902
angles (deg): 90.00 90.00 90.00
Atoms (fractional coordinates):
1 Sc 0.000 0.500 0.000
2 Li 0.000 0.000 0.500
3 Li 0.500 0.000 0.000
4 Sn 0.000 0.000 0.000
5 N 0.500 0.500 0.500

***

No. 9
Crystalline SmThCdAg at its relaxed geometry, computed with PBE-GGA.

Values from the calculation:
* space-group type: F-43m (216)
* DFT formation energy: -0.131 eV/atom

a b c (Å): 5.348 5.348 5.348
angles (deg): 60.00 60.00 60.00
Atoms (fractional coordinates):
1 Ag 0.750 0.750 0.750
2 Sm 0.500 0.500 0.500
3 Th 0.000 0.000 0.000
4 Cd 0.250 0.250 0.250

***

No. 10
Crystalline ZrGa2Mo2 at its relaxed geometry, computed with PBE-GGA.

Values from the calculation:
* space-group type: I4/mmm (139)
* DFT formation energy: 0.152 eV/atom
* energy above the most stable polymorph in this dataset: 381.7 meV per atom

a b c (Å): 4.759 4.759 5.313
angles (deg): 63.39 63.39 90.00
Atoms (fractional coordinates):
1 Mo 0.357 0.357 0.287
2 Mo 0.643 0.643 0.713
3 Ga 0.750 0.250 0.500
4 Ga 0.250 0.750 0.500
5 Zr 0.000 0.000 0.000

***

No. 11
Crystalline InCuAs2O8 at its relaxed geometry, computed with PBE-GGA.

Values from the calculation:
* space-group type: I-4m2 (119)
* E_form (uncorrected): -0.90 eV/atom

a b c (Å): 5.765 5.765 5.765
angles (deg): 107.41 107.41 113.68
Atoms (fractional coordinates):
1 In 0.000 0.000 0.000
2 Cu 0.250 0.750 0.500
3 As 0.750 0.250 0.500
4 As 0.500 0.500 0.000
5 O 0.381 0.065 0.316
6 O 0.314 0.501 0.187
7 O 0.314 0.127 0.813
8 O 0.749 0.065 0.684
9 O 0.873 0.686 0.187
10 O 0.935 0.251 0.316
11 O 0.935 0.619 0.684
12 O 0.499 0.686 0.813

***

No. 12
Crystalline CdNiOs at its relaxed geometry, computed with PBE-GGA.

Values from the calculation:
* space-group type: I4mm (107)
* DFT formation energy: 0.322 eV/atom
* energy above the most stable polymorph in this dataset: 4.1 meV per atom

a b c (Å): 6.235 6.235 6.235
angles (deg): 154.46 154.46 36.43
Atoms (fractional coordinates):
1 Cd 0.995 0.995 0.000
2 Ni 0.320 0.320 0.000
3 Os 0.685 0.685 0.000

***

No. 13
Crystalline Tb5HoTmSc2 at its relaxed geometry, computed with PBE-GGA.

Values from the calculation:
* space-group type: Cmc2_1 (36)
* DFT formation energy: 0.165 eV/atom

a b c (Å): 5.584 11.045 9.318
angles (deg): 90.00 90.00 104.64
Atoms (fractional coordinates):
1 Tb 0.392 0.784 0.048
2 Tb 0.734 0.469 0.832
3 Tb 0.468 0.937 0.749
4 Tb 0.306 0.611 0.718
5 Tb 0.988 0.975 0.510
6 Tb 0.608 0.216 0.548
7 Tb 0.266 0.531 0.332
8 Tb 0.532 0.063 0.249
9 Tb 0.694 0.389 0.218
10 Tb 0.012 0.025 0.010
11 Ho 0.816 0.631 0.517
12 Ho 0.184 0.369 0.017
13 Tm 0.599 0.198 0.922
14 Tm 0.401 0.802 0.422
15 Sc 0.886 0.773 0.825
16 Sc 0.133 0.267 0.703
17 Sc 0.114 0.227 0.325
18 Sc 0.867 0.733 0.203

***

No. 14
Crystalline MnReS2N at its relaxed geometry, computed with PBE-GGA.

Values from the calculation:
* space-group type: P4/mmm (123)
* energy above the most stable polymorph in this dataset: 534.9 meV per atom
* E_form (uncorrected): 0.86 eV/atom

a b c (Å): 4.598 4.598 3.370
angles (deg): 90.00 90.00 90.00
Atoms (fractional coordinates):
1 Re 0.500 0.500 0.500
2 S 0.000 0.500 0.000
3 S 0.500 0.000 0.000
4 Mn 0.000 0.000 0.000
5 N 0.000 0.000 0.500

***

No. 15
Crystalline AsHF3 at its relaxed geometry, computed with PBE-GGA.

Values from the calculation:
* space-group type: C2/m (12)
* energy above the most stable polymorph in this dataset: 0.0 meV per atom

a b c (Å): 2.675 6.647 7.632
angles (deg): 83.51 90.00 101.61
Atoms (fractional coordinates):
1 As 0.590 0.181 0.892
2 As 0.410 0.819 0.108
3 H 0.841 0.681 0.584
4 H 0.159 0.319 0.416
5 F 0.337 0.674 0.581
6 F 0.663 0.326 0.419
7 F 0.855 0.710 0.937
8 F 0.145 0.290 0.063
9 F 0.025 0.050 0.736
10 F 0.975 0.950 0.264

***

No. 16
Crystalline PmSmSnBi at its relaxed geometry, computed with PBE-GGA.

Values from the calculation:
* space-group type: F-43m (216)
* DFT formation energy: -0.584 eV/atom

a b c (Å): 5.540 5.540 5.540
angles (deg): 60.00 60.00 60.00
Atoms (fractional coordinates):
1 Sn 0.250 0.250 0.250
2 Bi 0.750 0.750 0.750
3 Sm 0.500 0.500 0.500
4 Pm 0.000 0.000 0.000

***

No. 17
Crystalline HfBeC2Br at its relaxed geometry, computed with PBE-GGA.

Values from the calculation:
* space-group type: P4/mmm (123)
* E_form (uncorrected): 2.33 eV/atom

a b c (Å): 4.248 3.862 4.248
angles (deg): 90.00 90.00 90.00
Atoms (fractional coordinates):
1 Be 0.000 0.500 0.000
2 C 0.000 0.000 0.500
3 C 0.500 0.000 0.000
4 Hf 0.500 0.500 0.500
5 Br 0.000 0.000 0.000

***

No. 18
Crystalline NaAc2H12Rh3 at its relaxed geometry, computed with PBE-GGA.

Values from the calculation:
* space-group type: R-3m (166)
* E: -4.309 eV per atom

a b c (Å): 6.253 6.253 6.253
angles (deg): 63.14 63.14 63.14
Atoms (fractional coordinates):
1 Na 0.000 0.000 0.000
2 Ac 0.613 0.613 0.613
3 Ac 0.387 0.387 0.387
4 H 0.296 0.296 0.881
5 H 0.877 0.877 0.409
6 H 0.409 0.877 0.877
7 H 0.881 0.296 0.296
8 H 0.877 0.409 0.877
9 H 0.296 0.881 0.296
10 H 0.704 0.704 0.119
11 H 0.123 0.123 0.591
12 H 0.591 0.123 0.123
13 H 0.119 0.704 0.704
14 H 0.123 0.591 0.123
15 H 0.704 0.119 0.704
16 Rh 0.500 0.000 0.000
17 Rh 0.000 0.500 0.000
18 Rh 0.000 0.000 0.500

***

No. 19
Crystalline KAgSnF6 at its relaxed geometry, computed with PBE-GGA.

Values from the calculation:
* space-group type: P-31c (163)
* E_form (uncorrected): -2.32 eV/atom

a b c (Å): 6.144 6.144 10.313
angles (deg): 90.00 90.00 120.00
Atoms (fractional coordinates):
1 K 0.000 0.000 0.000
2 K 0.000 0.000 0.500
3 Ag 0.333 0.667 0.250
4 Ag 0.667 0.333 0.750
5 Sn 0.667 0.333 0.250
6 Sn 0.333 0.667 0.750
7 F 0.662 0.602 0.141
8 F 0.940 0.338 0.141
9 F 0.338 0.940 0.641
10 F 0.060 0.662 0.859
11 F 0.398 0.338 0.359
12 F 0.940 0.602 0.359
13 F 0.602 0.940 0.859
14 F 0.662 0.060 0.359
15 F 0.060 0.398 0.641
16 F 0.398 0.060 0.141
17 F 0.602 0.662 0.641
18 F 0.338 0.398 0.859

***

No. 20
Crystalline TmGa7Rh2 at its relaxed geometry, computed with PBE-GGA.

Values from the calculation:
* space-group type: Cmmm (65)
* DFT formation energy: -0.184 eV/atom

a b c (Å): 4.099 7.766 7.766
angles (deg): 120.62 90.00 90.00
Atoms (fractional coordinates):
1 Tm 0.000 0.000 0.000
2 Ga 0.000 0.775 0.225
3 Ga 0.000 0.225 0.775
4 Ga 0.500 0.047 0.325
5 Ga 0.500 0.953 0.675
6 Ga 0.500 0.325 0.047
7 Ga 0.500 0.675 0.953
8 Ga 0.500 0.500 0.500
9 Rh 0.500 0.679 0.321
10 Rh 0.500 0.321 0.679